Entry i
{"formula": "Ca2PrPb", "functional": "PBE", "state": "relaxed", "lattice": [[0.000, 4.029, 4.029], [4.029, 0.000, 4.029], [4.029, 4.029, 0.000]], "species": ["Ca", "Ca", "Pr", "Pb"], "fractional_positions": [[0.250, 0.250, 0.250], [0.750, 0.750, 0.750], [0.000, 0.000, 0.000], [0.500, 0.500, 0.500]]}

***

Entry ii
{"formula": "Ca2PrPb", "functional": "PBE", "state": "relaxed", "lattice": [[4.997, 0.000, 0.000], [0.000, 4.997, 0.000], [0.000, 0.000, 5.255]], "species": ["Ca", "Ca", "Pr", "Pb"], "fractional_positions": [[0.000, 0.500, 0.000], [0.500, 0.000, 0.000], [0.000, 0.000, 0.500], [0.500, 0.500, 0.500]]}

***

Entry iii
{"formula": "Ca2PrPb", "functional": "PBE", "state": "relaxed", "lattice": [[0.000, 4.035, 4.035], [4.035, 0.000, 4.035], [4.035, 4.035, 0.000]], "species": ["Ca", "Ca", "Pr", "Pb"], "fractional_positions": [[0.000, 0.000, 0.000], [0.250, 0.250, 0.250], [0.500, 0.500, 0.500], [0.750, 0.750, 0.750]]}

***

Computed relative energies in units of meV per atom: entry i 236; entry ii 0; entry iii 127

***

Entry i
{"formula": "CaSmPtPb", "functional": "PBE", "state": "relaxed", "lattice": [[3.586, 0.000, 0.000], [0.000, 3.586, 0.000], [0.000, 0.000, 8.127]], "species": ["Ca", "Sm", "Pt", "Pb"], "fractional_positions": [[0.000, 0.000, 0.000], [0.000, 0.000, 0.576], [0.500, 0.500, 0.770], [0.500, 0.500, 0.284]]}

***

Entry ii
{"formula": "CaSmPtPb", "functional": "PBE", "state": "relaxed", "lattice": [[0.000, 3.713, 3.713], [3.713, 0.000, 3.713], [3.713, 3.713, 0.000]], "species": ["Ca", "Sm", "Pt", "Pb"], "fractional_positions": [[0.000, 0.000, 0.000], [0.500, 0.500, 0.500], [0.250, 0.250, 0.250], [0.750, 0.750, 0.750]]}

***

Computed relative energies in units of meV per atom: entry i 0; entry ii 128

***

Entry i
{"formula": "CaTbPtPb", "functional": "PBE", "state": "relaxed", "lattice": [[0.000, 3.680, 3.680], [3.680, 0.000, 3.680], [3.680, 3.680, 0.000]], "species": ["Ca", "Tb", "Pt", "Pb"], "fractional_positions": [[0.000, 0.000, 0.000], [0.500, 0.500, 0.500], [0.250, 0.250, 0.250], [0.750, 0.750, 0.750]]}

***

Entry ii
{"formula": "CaTbPtPb", "functional": "PBE", "state": "relaxed", "lattice": [[3.555, 0.000, 0.000], [0.000, 3.555, 0.000], [0.000, 0.000, 8.083]], "species": ["Ca", "Tb", "Pt", "Pb"], "fractional_positions": [[0.000, 0.000, 0.000], [0.000, 0.000, 0.576], [0.500, 0.500, 0.764], [0.500, 0.500, 0.289]]}

***

Computed relative energies in units of meV per atom: entry i 147; entry ii 0

***

Entry i
{"formula": "CaTmPtPb", "functional": "PBE", "state": "relaxed", "lattice": [[3.523, 0.000, 0.000], [0.000, 3.523, 0.000], [0.000, 0.000, 8.029]], "species": ["Ca", "Tm", "Pt", "Pb"], "fractional_positions": [[0.000, 0.000, 0.000], [0.000, 0.000, 0.576], [0.500, 0.500, 0.758], [0.500, 0.500, 0.294]]}

***

Entry ii
{"formula": "CaTmPtPb", "functional": "PBE", "state": "relaxed", "lattice": [[0.000, 3.647, 3.647], [3.647, 0.000, 3.647], [3.647, 3.647, 0.000]], "species": ["Ca", "Tm", "Pt", "Pb"], "fractional_positions": [[0.000, 0.000, 0.000], [0.500, 0.500, 0.500], [0.250, 0.250, 0.250], [0.750, 0.750, 0.750]]}

***

Computed relative energies in units of meV per atom: entry i 0; entry ii 169

***

Entry i
{"formula": "CaPuSnPb", "functional": "PBE", "state": "relaxed", "lattice": [[3.479, 0.000, 0.000], [0.000, 3.479, 0.000], [0.000, 0.000, 9.246]], "species": ["Ca", "Pu", "Sn", "Pb"], "fractional_positions": [[0.000, 0.000, 0.000], [0.000, 0.000, 0.514], [0.500, 0.500, 0.754], [0.500, 0.500, 0.259]]}

***

Entry ii
{"formula": "CaPuSnPb", "functional": "PBE", "state": "relaxed", "lattice": [[0.000, 3.868, 3.868], [3.868, 0.000, 3.868], [3.868, 3.868, 0.000]], "species": ["Ca", "Pu", "Sn", "Pb"], "fractional_positions": [[0.000, 0.000, 0.000], [0.500, 0.500, 0.500], [0.750, 0.750, 0.750], [0.250, 0.250, 0.250]]}

***

Computed relative energies in units of meV per atom: entry i 0; entry ii 83

***

Entry i
{"formula": "RbCaPb", "functional": "PBE", "state": "relaxed", "lattice": [[5.458, 0.000, 0.000], [0.000, 5.458, 0.000], [0.000, 0.000, 9.125]], "species": ["Rb", "Rb", "Ca", "Ca", "Pb", "Pb"], "fractional_positions": [[0.250, 0.250, 0.135], [0.750, 0.750, 0.865], [0.250, 0.750, 0.500], [0.750, 0.250, 0.500], [0.250, 0.250, 0.706], [0.750, 0.750, 0.294]]}

***

Entry ii
{"formula": "RbCaPb", "functional": "PBE", "state": "relaxed", "lattice": [[-2.106, 2.106, 7.440], [2.106, -2.106, 7.440], [2.106, 2.106, -7.440]], "species": ["Rb", "Ca", "Pb"], "fractional_positions": [[0.000, 0.000, 0.000], [0.266, 0.266, 0.000], [0.675, 0.675, 0.000]]}

***

Computed relative energies in units of meV per atom: entry i 0; entry ii 45

***

Entry i
{"formula": "Rb2CaPb2", "functional": "PBE", "state": "relaxed", "lattice": [[8.666, 0.000, 0.000], [0.000, 8.666, 0.000], [0.000, 0.000, 6.079]], "species": ["Rb", "Rb", "Rb", "Rb", "Ca", "Ca", "Pb", "Pb", "Pb", "Pb"], "fractional_positions": [[0.175, 0.325, 0.000], [0.325, 0.825, 0.000], [0.675, 0.175, 0.000], [0.825, 0.675, 0.000], [0.000, 0.000, 0.500], [0.500, 0.500, 0.500], [0.121, 0.621, 0.500], [0.379, 0.121, 0.500], [0.621, 0.879, 0.500], [0.879, 0.379, 0.500]]}

***

Entry ii
{"formula": "Rb2CaPb2", "functional": "PBE", "state": "relaxed", "lattice": [[-2.512, 2.512, 8.358], [2.512, -2.512, 8.358], [2.512, 2.512, -8.358]], "species": ["Rb", "Rb", "Ca", "Pb", "Pb"], "fractional_positions": [[0.250, 0.750, 0.500], [0.750, 0.250, 0.500], [0.000, 0.000, 0.000], [0.414, 0.414, 0.000], [0.586, 0.586, 0.000]]}

***

Computed relative energies in units of meV per atom: entry i 0; entry ii 49

***

Entry i
{"formula": "RbCaPb3", "functional": "PBE", "state": "relaxed", "lattice": [[6.029, 0.000, 0.000], [0.000, 6.029, 0.000], [0.000, 0.000, 6.029]], "species": ["Rb", "Ca", "Pb", "Pb", "Pb"], "fractional_positions": [[0.000, 0.000, 0.000], [0.500, 0.500, 0.500], [0.000, 0.500, 0.500], [0.500, 0.000, 0.500], [0.500, 0.500, 0.000]]}

***

Entry ii
{"formula": "RbCaPb3", "functional": "PBE", "state": "relaxed", "lattice": [[6.092, 0.000, 0.000], [0.000, 6.092, 0.000], [0.000, 0.000, 6.092]], "species": ["Rb", "Ca", "Pb", "Pb", "Pb"], "fractional_positions": [[0.000, 0.000, 0.000], [0.500, 0.500, 0.500], [0.000, 0.000, 0.500], [0.000, 0.500, 0.000], [0.500, 0.000, 0.000]]}

***

Computed relative energies in units of meV per atom: entry i 0; entry ii 587

***

Entry i
{"formula": "RbCa2Pb2", "functional": "PBE", "state": "relaxed", "lattice": [[-2.905, 2.905, 6.447], [2.905, -2.905, 6.447], [2.905, 2.905, -6.447]], "species": ["Rb", "Ca", "Ca", "Pb", "Pb"], "fractional_positions": [[0.000, 0.000, 0.000], [0.347, 0.347, 0.000], [0.653, 0.653, 0.000], [0.250, 0.750, 0.500], [0.750, 0.250, 0.500]]}

***

Entry ii
{"formula": "RbCa2Pb2", "functional": "PBE", "state": "relaxed", "lattice": [[9.906, 0.000, 0.000], [0.000, 9.906, 0.000], [0.000, 0.000, 3.522]], "species": ["Rb", "Rb", "Ca", "Ca", "Ca", "Ca", "Pb", "Pb", "Pb", "Pb"], "fractional_positions": [[0.000, 0.000, 0.000], [0.500, 0.500, 0.000], [0.126, 0.374, 0.000], [0.374, 0.874, 0.000], [0.626, 0.126, 0.000], [0.874, 0.626, 0.000], [0.171, 0.671, 0.500], [0.329, 0.171, 0.500], [0.671, 0.829, 0.500], [0.829, 0.329, 0.500]]}

***

Entry iii
{"formula": "RbCa2Pb2", "functional": "PBE", "state": "relaxed", "lattice": [[-2.793, 2.793, 6.579], [2.793, -2.793, 6.579], [2.793, 2.793, -6.579]], "species": ["Rb", "Ca", "Ca", "Pb", "Pb"], "fractional_positions": [[0.000, 0.000, 0.000], [0.250, 0.750, 0.500], [0.750, 0.250, 0.500], [0.385, 0.385, 0.000], [0.615, 0.615, 0.000]]}

***

Computed relative energies in units of meV per atom: entry i 275; entry ii 0; entry iii 134

***

Entry i
{"formula": "CaRe3Pb", "functional": "PBE", "state": "relaxed", "lattice": [[4.779, 0.000, 0.000], [0.000, 4.779, 0.000], [0.000, 0.000, 4.779]], "species": ["Ca", "Re", "Re", "Re", "Pb"], "fractional_positions": [[0.000, 0.000, 0.000], [0.000, 0.000, 0.500], [0.000, 0.500, 0.000], [0.500, 0.000, 0.000], [0.500, 0.500, 0.500]]}

***

Entry ii
{"formula": "CaRe3Pb", "functional": "PBE", "state": "relaxed", "lattice": [[5.051, 0.000, 0.000], [0.000, 5.051, 0.000], [0.000, 0.000, 5.051]], "species": ["Ca", "Re", "Re", "Re", "Pb"], "fractional_positions": [[0.000, 0.000, 0.000], [0.000, 0.500, 0.500], [0.500, 0.000, 0.500], [0.500, 0.500, 0.000], [0.500, 0.500, 0.500]]}

***

Computed relative energies in units of meV per atom: entry i 471; entry ii 0

***

Entry i
{"formula": "CaRePb", "functional": "PBE", "state": "relaxed", "lattice": [[5.041, 0.000, 0.000], [-2.521, 4.366, 0.000], [0.000, 0.000, 3.019]], "species": ["Ca", "Re", "Pb"], "fractional_positions": [[0.000, 0.000, 0.000], [0.667, 0.333, 0.500], [0.333, 0.667, 0.500]]}

***

Entry ii
{"formula": "CaRePb", "functional": "PBE", "state": "relaxed", "lattice": [[0.000, 3.498, 3.498], [3.498, 0.000, 3.498], [3.498, 3.498, 0.000]], "species": ["Ca", "Re", "Pb"], "fractional_positions": [[0.000, 0.000, 0.000], [0.750, 0.750, 0.750], [0.250, 0.250, 0.250]]}

***

Entry iii
{"formula": "CaRePb", "functional": "PBE", "state": "relaxed", "lattice": [[3.320, 0.000, 0.000], [-1.660, 2.875, 0.000], [0.000, 0.000, 7.254]], "species": ["Ca", "Re", "Pb"], "fractional_positions": [[0.000, 0.000, 0.000], [0.333, 0.667, 0.683], [0.667, 0.333, 0.390]]}

***

Entry iv
{"formula": "CaRePb", "functional": "PBE", "state": "relaxed", "lattice": [[-1.789, 1.789, 5.409], [1.789, -1.789, 5.409], [1.789, 1.789, -5.409]], "species": ["Ca", "Re", "Pb"], "fractional_positions": [[0.000, 0.000, 0.000], [0.676, 0.676, 0.000], [0.297, 0.297, 0.000]]}

***

Computed relative energies in units of meV per atom: entry i 33; entry ii 927; entry iii 171; entry iv 0

***

Entry i
{"formula": "CaRePb3", "functional": "PBE", "state": "relaxed", "lattice": [[5.578, 0.000, 0.000], [0.000, 5.578, 0.000], [0.000, 0.000, 5.578]], "species": ["Ca", "Re", "Pb", "Pb", "Pb"], "fractional_positions": [[0.000, 0.000, 0.000], [0.500, 0.500, 0.500], [0.000, 0.000, 0.500], [0.000, 0.500, 0.000], [0.500, 0.000, 0.000]]}

***

Entry ii
{"formula": "CaRePb3", "functional": "PBE", "state": "relaxed", "lattice": [[5.391, 0.000, 0.000], [0.000, 5.391, 0.000], [0.000, 0.000, 5.391]], "species": ["Ca", "Re", "Pb", "Pb", "Pb"], "fractional_positions": [[0.000, 0.000, 0.000], [0.500, 0.500, 0.500], [0.000, 0.500, 0.500], [0.500, 0.000, 0.500], [0.500, 0.500, 0.000]]}

***

Computed relative energies in units of meV per atom: entry i 1565; entry ii 0